(1)
This record from Alexandria via LeMat-Bulk describes a relaxed TmTl2InF6 crystal. The functional is PBE-GGA.

Results
- Fermi-level density of states: 0.000 states/eV per atom
- Crystal system: triclinic
- Mass density: 6.45 g/cm3
- Uncorrected formation energy: -2703 meV/atom
- DFT total energy: -50.2 eV per formula unit

abc: 6.8181 6.8158 6.4954
angles: 58.29 58.32 59.93
With the nearest neighbours (Å) after each atom.
Positions (direct):
1 Tm 0.3161 0.3162 0.0515  6 F 2.16
2 Tl 0.5572 0.5575 0.3285  6 F 2.79-3.02
3 Tl 0.0755 0.0749 0.7741  6 F 2.79-3.02
4 In 0.8164 0.8163 0.5513  6 F 2.74
5 F 0.5064 0.1919 0.2991  1 Tm 2.16
6 F 0.1910 0.0028 0.2998  1 Tm 2.16
7 F 0.0023 0.5087 0.2972  1 Tm 2.16
8 F 0.4413 0.6294 0.8034  1 Tm 2.16
9 F 0.6298 0.1235 0.8059  1 Tm 2.16
10 F 0.1254 0.4404 0.8044  1 Tm 2.16

***

(2)
This record from Alexandria via LeMat-Bulk describes a relaxed ScPb7 crystal. The functional is PBE-GGA.

Results
- Fermi-level density of states: 1.237 states/eV per atom
- Crystal system: cubic
- Mass density: 10.42 g/cm3
- DFT total energy: -32.5 eV per formula unit
- Formation enthalpy at 0 K: -27 meV/atom

abc: 6.9596 6.9596 6.9596
angles: 60.00 60.00 60.00
With the nearest neighbours (Å) after each atom.
Positions (direct):
1 Pb 0.5000 0.0000 0.5000  10 Pb 3.48, 2 Sc 3.48
2 Pb 0.0000 0.5000 0.5000  10 Pb 3.48, 2 Sc 3.48
3 Pb 0.0000 0.0000 0.5000  10 Pb 3.48, 2 Sc 3.48
4 Pb 0.0000 0.5000 0.0000  10 Pb 3.48, 2 Sc 3.48
5 Pb 0.5000 0.0000 0.0000  10 Pb 3.48, 2 Sc 3.48
6 Pb 0.5000 0.5000 0.0000  10 Pb 3.48, 2 Sc 3.48
7 Pb 0.5000 0.5000 0.5000  12 Pb 3.48
8 Sc 0.0000 0.0000 0.0000  12 Pb 3.48

***

(3)
This record from Alexandria via LeMat-Bulk describes a relaxed ZnTcSCl2 crystal. The functional is PBE-GGA.

Results
- Fermi-level density of states: 0.043 states/eV per atom
- Crystal system: tetragonal
- Mass density: 4.01 g/cm3
- Uncorrected formation energy: 332 meV/atom
- DFT total energy: -17.8 eV per formula unit

abc: 4.6655 4.6655 5.0662
angles: 90.00 90.00 90.00
With the nearest neighbours (Å) after each atom.
Positions (direct):
1 S 0.0000 0.0000 0.5000  2 Zn 2.53
2 Zn 0.0000 0.0000 0.0000  4 Cl 2.33, 2 S 2.53
3 Tc 0.5000 0.5000 0.5000  4 S 3.30, 8 Cl 3.44
4 Cl 0.0000 0.5000 0.0000  2 Zn 2.33
5 Cl 0.5000 0.0000 0.0000  2 Zn 2.33

***

(4)
This record from Alexandria via LeMat-Bulk describes a relaxed LiReW crystal. The functional is PBE-GGA.

Results
- Fermi-level density of states: 0.495 states/eV per atom
- Crystal system: orthorhombic
- Mass density: 14.21 g/cm3
- DFT total energy: -26.5 eV per formula unit
- Formation enthalpy at 0 K: 269 meV/atom

abc: 4.6587 4.6587 4.6587
angles: 147.73 124.34 65.82
With the nearest neighbours (Å) after each atom.
Positions (direct):
1 Li 0.9996 0.9996 0.0000  2 Li 2.59, 5 W 2.61-2.85, 5 Re 2.62-2.84
2 Re 0.3341 0.3341 0.0000  2 Re 2.59, 5 W 2.60-2.85, 5 Li 2.62-2.84
3 W 0.6663 0.6663 0.0000  2 W 2.59, 5 Re 2.60-2.85, 5 Li 2.61-2.85

***

(5)
This record from Alexandria via LeMat-Bulk describes a relaxed SbTe3O crystal. The functional is PBE-GGA.

Results
- Fermi-level density of states: 0.527 states/eV per atom
- Crystal system: cubic
- Mass density: 7.30 g/cm3
- Uncorrected formation energy: 189 meV/atom
- DFT total energy: -17.6 eV per formula unit

abc: 4.9100 4.9100 4.9100
angles: 90.00 90.00 90.00
With the nearest neighbours (Å) after each atom.
Positions (direct):
1 Sb 0.5000 0.5000 0.5000  12 Te 3.47
2 Te 0.0000 0.5000 0.0000  2 O 2.46
3 Te 0.0000 0.0000 0.5000  2 O 2.46
4 Te 0.5000 0.0000 0.0000  2 O 2.46
5 O 0.0000 0.0000 0.0000  6 Te 2.46

***

(6)
This record from Alexandria via LeMat-Bulk describes a relaxed Sr4LiTc3O12 crystal. The functional is PBE-GGA.

Results
- Fermi-level density of states: 0.090 states/eV per atom
- Crystal system: cubic
- Mass density: 5.59 g/cm3
- Uncorrected formation energy: -2122 meV/atom
- DFT total energy: -141.7 eV per formula unit

abc: 6.8766 6.8766 6.8766
angles: 109.47 109.47 109.47
With the nearest neighbours (Å) after each atom.
Positions (direct):
1 Sr 0.5000 0.5000 0.5000  12 O 2.81
2 Sr 0.0000 0.0000 0.5000  12 O 2.81
3 Sr 0.5000 0.0000 0.0000  12 O 2.81
4 Sr 0.0000 0.5000 0.0000  12 O 2.81
5 Li 0.0000 0.0000 0.0000  6 O 2.07
6 Tc 0.5000 0.0000 0.5000  6 O 1.90-1.99
7 Tc 0.5000 0.5000 0.0000  6 O 1.90-1.99
8 Tc 0.0000 0.5000 0.5000  6 O 1.90-1.99
9 O 0.2500 0.5000 0.7500  2 Tc 1.99
10 O 0.7393 0.0000 0.7393  1 Tc 1.90, 1 Li 2.07
11 O 0.2607 0.0000 0.2607  1 Tc 1.90, 1 Li 2.07
12 O 0.7500 0.5000 0.2500  2 Tc 1.99
13 O 0.7393 0.7393 0.0000  1 Tc 1.90, 1 Li 2.07
14 O 0.2607 0.2607 0.0000  1 Tc 1.90, 1 Li 2.07
15 O 0.7500 0.2500 0.5000  2 Tc 1.99
16 O 0.2500 0.7500 0.5000  2 Tc 1.99
17 O 0.5000 0.2500 0.7500  2 Tc 1.99
18 O 0.0000 0.7393 0.7393  1 Tc 1.90, 1 Li 2.07
19 O 0.5000 0.7500 0.2500  2 Tc 1.99
20 O 0.0000 0.2607 0.2607  1 Tc 1.90, 1 Li 2.07